(1)
Compound: MnBeSi
Source: the Alexandria database
Functional: PBE
Structure: relaxed

formation energy from raw total energies	-0.277	eV/atom

Structure (CIF):
```
data_MnBeSi
_cell_length_a 5.3025
_cell_length_b 4.3374
_cell_length_c 5.4168
_cell_angle_alpha 90.00
_cell_angle_beta 93.46
_cell_angle_gamma 90.00
_space_group_name_H-M_alt 'P 1 21/c 1'
_space_group_IT_number 14
_space_group_name_Hall '-P 2ybc'
loop_
_atom_site_label
_atom_site_fract_x
_atom_site_fract_y
_atom_site_fract_z
Mn1 0.2406 0.1284 0.4976
Be1 0.4474 0.5970 0.6789
Si1 0.1228 0.6334 0.3473
```

(2)
Compound: DyGa6
Source: the Alexandria database
Functional: PBE
Structure: relaxed

ΔE_f	-309	meV/atom

Structure (CIF):
```
data_DyGa6
_cell_length_a 5.9807
_cell_length_b 5.9807
_cell_length_c 7.5732
_cell_angle_alpha 90.00
_cell_angle_beta 90.00
_cell_angle_gamma 90.00
_space_group_name_H-M_alt 'P 4/n b m'
_space_group_IT_number 125
loop_
_space_group_symop_operation_xyz
'x,y,z'
'-x,-y,-z'
'-y+1/2,x,z'
'y+1/2,-x,-z'
'-x+1/2,-y+1/2,z'
'x+1/2,y+1/2,-z'
'y,-x+1/2,z'
'-y,x+1/2,-z'
'x,-y+1/2,-z'
'-x,y+1/2,z'
'-y+1/2,-x+1/2,-z'
'y+1/2,x+1/2,z'
'-x+1/2,y,-z'
'x+1/2,-y,z'
'y,x,-z'
'-y,-x,z'
loop_
_atom_site_label
_atom_site_fract_x
_atom_site_fract_y
_atom_site_fract_z
Dy1 0.2500 0.7500 0.0000
Ga1 0.0731 0.5731 0.3529
Ga2 0.2500 0.2500 0.1625
```

no.,V (A^3/atom),calculated density (g cm⁻³)
1,10.4,4.916
2,19.3,7.121